1.
The following is a PBE calculation of an optimized crystal structure of TbGe3Ru3, from Alexandria.

Computed properties:
- theoretical density (g/cm³) = 7.61
- formation energy from the elements (eV per formula unit) = 0.71
- M_tot (μB/f.u.) = 0.0
- distance to the lowest polymorph of the same formula (meV per atom) = 334
- raw total energy (eV per atom) = -6.5143

abc: 6.6694 6.6694 6.6694
angles: 90.00 90.00 90.00
Space group Pm-3n (No. 223)
Inequivalent atoms, fractional coordinates:
1 Tb 0.0000 0.0000 0.0000 x2
2 Ge 0.0000 0.2500 0.5000 x6
3 Ru 0.0000 0.5000 0.2500 x6

***

2.
The following is a PBE calculation of an optimized crystal structure of Pm7GeCl12, from Alexandria.

Computed properties:
- theoretical density (g/cm³) = 4.14
- E_form (uncorrected) (eV/atom) = -1.942
- M_tot (μB/f.u.) = 0.0
- raw total energy (eV per atom) = -4.9440

abc: 14.6630 14.6630 9.7767
angles: 90.00 90.00 120.00
Space group R-3 (No. 148, hexagonal axes)
Inequivalent atoms, fractional coordinates:
1 Pm 0.0000 0.0000 0.0000 x3
2 Pm 0.0455 0.8720 0.3384 x18
3 Ge 0.0000 0.0000 0.5000 x3
4 Cl 0.0268 0.4412 0.1640 x18
5 Cl 0.0460 0.8705 0.8400 x18

***

3.
The following is a PBE calculation of an optimized crystal structure of Hf2Be2In, from Alexandria.

Computed properties:
- theoretical density (g/cm³) = 9.49
- formation energy from the elements (eV per formula unit) = 1.11
- M_tot (μB/f.u.) = 0.0
- distance to the lowest polymorph of the same formula (meV per atom) = 460
- raw total energy (eV per atom) = -5.7975

abc: 3.0614 3.0614 18.2809
angles: 90.00 90.00 90.00
Space group I4/mmm (No. 139)
Inequivalent atoms, fractional coordinates:
1 Hf 0.0000 0.0000 0.1228 x4
2 Be 0.0000 0.5000 0.2500 x4
3 In 0.0000 0.0000 0.5000 x2

***

4.
The following is a PBE calculation of an optimized crystal structure of TbSm7Tl2, from Alexandria.

Computed properties:
- theoretical density (g/cm³) = 6.75
- formation energy from the elements (eV per formula unit) = 3.47
- M_tot (μB/f.u.) = 0.0
- raw total energy (eV per atom) = -3.8922

abc: 9.3197 15.9470 5.3642
angles: 90.00 90.00 90.00
Space group Cmmm (No. 65)
Inequivalent atoms, fractional coordinates:
1 Tb 0.0000 0.0000 0.0000 x2
2 Sm 0.0000 0.2236 0.0000 x4
3 Sm 0.0000 0.5000 0.5000 x2
4 Sm 0.1818 0.1192 0.5000 x8
5 Tl 0.0000 0.3063 0.5000 x4

***

5.
The following is a PBE calculation of an optimized crystal structure of ZnHgMo, from Alexandria.

Computed properties:
- theoretical density (g/cm³) = 11.57
- formation energy from the elements (eV per formula unit) = 1.12
- M_tot (μB/f.u.) = 0.0
- distance to the lowest polymorph of the same formula (meV per atom) = 0
- raw total energy (eV per atom) = -3.7632

abc: 2.8118 2.8118 13.1346
angles: 90.00 90.00 90.00
Space group I4mm (No. 107)
Inequivalent atoms, fractional coordinates:
1 Zn 0.0000 0.0000 0.0000 x2
2 Hg 0.0000 0.0000 0.6766 x2
3 Mo 0.0000 0.0000 0.3521 x2

***

6.
The following is a PBE calculation of an optimized crystal structure of Al2TeCl, from Alexandria.

Computed properties:
- theoretical density (g/cm³) = 2.97
- E_form (uncorrected) (eV/atom) = -0.353
- M_tot (μB/f.u.) = 0.0
- distance to the lowest polymorph of the same formula (meV per atom) = 79
- raw total energy (eV per atom) = -3.4709

abc: 11.5085 3.7524 5.7775
angles: 90.00 103.14 90.00
Space group Cm (No. 8)
Inequivalent atoms, fractional coordinates:
1 Al 0.0000 0.0000 0.0000 x2
2 Al 0.1628 0.5000 0.8893 x2
3 Te 0.3242 0.0000 0.7991 x2
4 Cl 0.0181 0.0000 0.3862 x2

***

7.
The following is a PBE calculation of an optimized crystal structure of Nd2Co3As4Ir, from Alexandria.

Computed properties:
- theoretical density (g/cm³) = 9.41
- formation energy from the elements (eV per formula unit) = -7.50
- M_tot (μB/f.u.) = 0.8
- raw total energy (eV per atom) = -6.5808

abc: 4.2016 4.2016 9.5699
angles: 90.00 90.00 90.00
Space group P-4m2 (No. 115)
Inequivalent atoms, fractional coordinates:
1 Nd 0.0000 0.5000 0.2432 x2
2 Co 0.0000 0.5000 0.8876 x2
3 Co 0.5000 0.5000 0.5000 x1
4 As 0.0000 0.0000 0.0000 x1
5 As 0.0000 0.5000 0.6414 x2
6 As 0.5000 0.5000 0.0000 x1
7 Ir 0.0000 0.0000 0.5000 x1

***

8.
The following is a PBE calculation of an optimized crystal structure of SrPm3Sm2Te6, from Alexandria.

Computed properties:
- theoretical density (g/cm³) = 6.83
- E_form (uncorrected) (eV/atom) = -1.441
- M_tot (μB/f.u.) = 0.0
- raw total energy (eV per atom) = -5.1264

abc: 19.6123 4.4892 9.0324
angles: 90.00 103.66 90.00
Space group C2/m (No. 12)
Inequivalent atoms, fractional coordinates:
1 Sr 0.0000 0.0000 0.0000 x2
2 Pm 0.0000 0.0000 0.5000 x2
3 Pm 0.1643 0.5000 0.8204 x4
4 Sm 0.1711 0.5000 0.3433 x4
5 Te 0.0032 0.5000 0.2566 x4
6 Te 0.1651 0.0000 0.5800 x4
7 Te 0.1700 0.0000 0.0837 x4